Material: Hf2Cd
Method: DFT, PBE
State: relaxed

Cell and atoms, written as extended XYZ:
```
3
Lattice="-1.6386 1.6386 6.0651 1.6386 -1.6386 6.0651 1.6386 1.6386 -6.0651" Properties=species:S:1:pos:R:3 pbc="T T T"
Hf 0.0000 0.0000 2.0370
Hf 0.0000 0.0000 10.0931
Cd 0.0000 0.0000 6.0651
```

## Properties
formation enthalpy at 0 K = -0.069 eV/atom
space group = I4/mmm, No. 139
E = -0.5148 Ry/atom
total moment = 0.00 μB/f.u.